## P
Entry from Alexandria: a geometry-optimized LiIrAu structure (GGA-PBE).

CIF file:
```
data_LiIrAu
_chemical_formula_sum 'Li1 Ir1 Au1'
_cell_length_a 2.7424
_cell_length_b 2.7424
_cell_length_c 7.0118
_cell_angle_alpha 90.00
_cell_angle_beta 90.00
_cell_angle_gamma 120.00
_space_group_name_H-M_alt 'P 3 m 1'
_space_group_IT_number 156
loop_
_space_group_symop_operation_xyz
'x,y,z'
'-y,x-y,z'
'-x+y,-x,z'
'-y,-x,z'
'-x+y,y,z'
'x,x-y,z'
loop_
_atom_site_label
_atom_site_type_symbol
_atom_site_fract_x
_atom_site_fract_y
_atom_site_fract_z
_atom_site_occupancy
Li1 Li 0.0000 0.0000 0.0000 1
Ir1 Ir 0.3333 0.6667 0.6949 1
Au1 Au 0.6667 0.3333 0.3232 1
```

For the density, the calculation gives 14.40 Mg/m³.

***

## Q
Entry from Alexandria: a geometry-optimized LiIrAu structure (GGA-PBE).

CIF file:
```
data_LiIrAu
_chemical_formula_sum 'Li2 Ir2 Au2'
_cell_length_a 2.637
_cell_length_b 4.166
_cell_length_c 8.399
_cell_angle_alpha 90.00
_cell_angle_beta 90.00
_cell_angle_gamma 90.00
_space_group_name_H-M_alt 'I m m 2'
_space_group_IT_number 44
loop_
_space_group_symop_operation_xyz
'x,y,z'
'-x,-y,z'
'-x,y,z'
'x,-y,z'
'x+1/2,y+1/2,z+1/2'
'-x+1/2,-y+1/2,z+1/2'
'-x+1/2,y+1/2,z+1/2'
'x+1/2,-y+1/2,z+1/2'
loop_
_atom_site_label
_atom_site_type_symbol
_atom_site_fract_x
_atom_site_fract_y
_atom_site_fract_z
_atom_site_occupancy
Li1 Li 0.000 0.000 0.000 1
Ir1 Ir 0.000 0.000 0.339 1
Au1 Au 0.000 0.000 0.669 1
```

For the density, the calculation gives 14.26 Mg/m³.

***

Which of them is the least stable? Correct choice: Q.